(1)
The following is a GGA-PBE calculation of a geometry-optimized Pm6Dy3YHo2 structure, from Alexandria.

a b c (Å): 6.2427 6.2427 11.8391
angles (deg): 95.03 95.03 119.99
Element x y z (fractional)
Pm1 0.0840 0.4182 0.2500
Pm2 0.5818 0.9160 0.7500
Pm3 0.9160 0.5818 0.7500
Pm4 0.7498 0.7498 0.2501
Pm5 0.4182 0.0840 0.2500
Pm6 0.2502 0.2502 0.7499
Y1 0.0000 0.0000 0.0000
Ho1 0.3334 0.6666 0.0000
Ho2 0.6666 0.3334 0.0000
Dy1 0.5000 0.5000 0.5000
Dy2 0.8333 0.1667 0.5000
Dy3 0.1667 0.8333 0.5000

Computed properties:
Formation energy: 0.1 eV/f.u.
Total moment: 0.0 μB/f.u.

---

(2)
The following is a GGA-PBE calculation of a geometry-optimized Pm2Dy6YHo3 structure, from Alexandria.

a b c (Å): 6.1606 6.1606 11.7944
angles (deg): 94.97 94.97 119.95
Element x y z (fractional)
Dy1 0.2483 0.2483 0.7470
Dy2 0.7517 0.7517 0.2530
Dy3 0.0849 0.4183 0.2528
Dy4 0.5817 0.9151 0.7472
Dy5 0.4183 0.0849 0.2528
Dy6 0.9151 0.5817 0.7472
Ho1 0.8336 0.1664 0.5000
Ho2 0.1664 0.8336 0.5000
Ho3 0.5000 0.5000 0.5000
Pm1 0.3334 0.6666 0.0000
Pm2 0.6666 0.3334 0.0000
Y1 0.0000 0.0000 0.0000

Computed properties:
Formation energy: 0.2 eV/f.u.
Total moment: 0.0 μB/f.u.

---

(3)
The following is a GGA-PBE calculation of a geometry-optimized Pm3DyYHo structure, from Alexandria.

a b c (Å): 5.1019 8.0468 10.7787
angles (deg): 116.58 90.00 90.00
Element x y z (fractional)
Pm1 0.2500 0.6222 0.7919
Pm2 0.7500 0.3778 0.2081
Pm3 0.2500 0.1260 0.9581
Pm4 0.7500 0.8740 0.0419
Pm5 0.7500 0.3733 0.5422
Pm6 0.2500 0.6267 0.4578
Ho1 0.2500 0.1238 0.6240
Ho2 0.7500 0.8762 0.3760
Dy1 0.7500 0.3731 0.8744
Dy2 0.2500 0.6269 0.1256
Y1 0.7500 0.8769 0.7070
Y2 0.2500 0.1231 0.2930

Computed properties:
Formation energy: 0.1 eV/f.u.
Total moment: 0.0 μB/f.u.

---

(4)
The following is a GGA-PBE calculation of a geometry-optimized Pm3Dy6YHo2 structure, from Alexandria.

a b c (Å): 6.1838 6.1838 11.8198
angles (deg): 94.98 94.98 119.97
Element x y z (fractional)
Dy1 0.9173 0.5831 0.7529
Dy2 0.4169 0.0827 0.2471
Dy3 0.7486 0.7486 0.2471
Dy4 0.5831 0.9173 0.7529
Dy5 0.2514 0.2514 0.7529
Dy6 0.0827 0.4169 0.2471
Pm1 0.8333 0.1667 0.5000
Pm2 0.1667 0.8333 0.5000
Pm3 0.5000 0.5000 0.5000
Ho1 0.6666 0.3334 0.0000
Ho2 0.3334 0.6666 0.0000
Y1 0.0000 0.0000 0.0000

Computed properties:
Formation energy: 0.2 eV/f.u.
Total moment: 0.0 μB/f.u.

---

(5)
The following is a GGA-PBE calculation of a geometry-optimized PmDyY6Ho2 structure, from Alexandria.

a b c (Å): 9.6653 8.7694 8.7694
angles (deg): 117.27 94.51 94.51
Element x y z (fractional)
Ho1 0.9542 0.7063 0.8070
Ho2 0.0458 0.2937 0.1930
Ho3 0.5458 0.1930 0.2937
Ho4 0.4542 0.8070 0.7063
Y1 0.9440 0.8809 0.2478
Y2 0.8811 0.2942 0.5054
Y3 0.1823 0.5721 0.0210
Y4 0.4440 0.2478 0.8809
Y5 0.1189 0.7058 0.4946
Y6 0.3177 0.9790 0.4279
Y7 0.8177 0.4279 0.9790
Y8 0.0560 0.1191 0.7522
Y9 0.6189 0.4946 0.7058
Y10 0.5560 0.7522 0.1191
Y11 0.3811 0.5054 0.2942
Y12 0.6823 0.0210 0.5721
Dy1 0.2500 0.9758 0.0242
Dy2 0.7500 0.0242 0.9758
Pm1 0.7500 0.5931 0.4069
Pm2 0.2500 0.4069 0.5931

Computed properties:
Formation energy: 1.2 eV/f.u.
Total moment: 0.0 μB/f.u.

---

(6)
The following is a GGA-PBE calculation of a geometry-optimized Pm2Dy6Y3Ho structure, from Alexandria.

a b c (Å): 6.1743 6.1743 11.8220
angles (deg): 94.97 94.97 119.96
Element x y z (fractional)
Pm1 0.3334 0.6666 0.0000
Pm2 0.6666 0.3334 0.0000
Dy1 0.7517 0.7517 0.2510
Dy2 0.4170 0.0842 0.2508
Dy3 0.5830 0.9158 0.7492
Dy4 0.9158 0.5830 0.7492
Dy5 0.0842 0.4170 0.2508
Dy6 0.2483 0.2483 0.7490
Ho1 0.0000 0.0000 0.0000
Y1 0.5000 0.5000 0.5000
Y2 0.8336 0.1664 0.5000
Y3 0.1664 0.8336 0.5000

Computed properties:
Formation energy: 0.2 eV/f.u.
Total moment: 0.0 μB/f.u.

---

(7)
The following is a GGA-PBE calculation of a geometry-optimized Pm3Dy6Y2Ho structure, from Alexandria.

a b c (Å): 6.1905 6.1905 11.8324
angles (deg): 94.98 94.98 119.97
Element x y z (fractional)
Ho1 0.0000 0.0000 0.0000
Y1 0.6667 0.3333 0.0000
Y2 0.3333 0.6667 0.0000
Dy1 0.5846 0.9172 0.7524
Dy2 0.4154 0.0828 0.2476
Dy3 0.7502 0.7502 0.2476
Dy4 0.2498 0.2498 0.7524
Dy5 0.9172 0.5846 0.7524
Dy6 0.0828 0.4154 0.2476
Pm1 0.5000 0.5000 0.5000
Pm2 0.8333 0.1667 0.5000
Pm3 0.1667 0.8333 0.5000

Computed properties:
Formation energy: 0.2 eV/f.u.
Total moment: 0.0 μB/f.u.

---

(8)
The following is a GGA-PBE calculation of a geometry-optimized Pm4Dy2Y2Ho structure, from Alexandria.

a b c (Å): 5.0800 8.0471 8.0354
angles (deg): 107.49 90.00 108.40
Element x y z (fractional)
Dy1 0.8891 0.7782 0.3322
Dy2 0.1109 0.2218 0.6678
Ho1 0.0000 0.0000 0.0000
Y1 0.3336 0.6673 0.0002
Y2 0.6664 0.3327 0.9998
Pm1 0.2226 0.4452 0.3339
Pm2 0.4454 0.8907 0.6674
Pm3 0.7774 0.5548 0.6661
Pm4 0.5546 0.1093 0.3326

Computed properties:
Formation energy: 0.2 eV/f.u.
Total moment: 0.0 μB/f.u.

---

(9)
The following is a GGA-PBE calculation of a geometry-optimized PmDyHoZn structure, from Alexandria.

a b c (Å): 5.3665 5.3665 5.3665
angles (deg): 60.00 60.00 60.00
Element x y z (fractional)
Pm1 0.7500 0.7500 0.7500
Dy1 0.2500 0.2500 0.2500
Zn1 0.0000 0.0000 0.0000
Ho1 0.5000 0.5000 0.5000

Computed properties:
Formation energy: 0.2 eV/f.u.
Total moment: 0.0 μB/f.u.

---

(10)
The following is a GGA-PBE calculation of a geometry-optimized PmDyHoZn structure, from Alexandria.

a b c (Å): 3.5777 3.5777 8.6759
angles (deg): 90.00 90.00 90.00
Element x y z (fractional)
Dy1 0.5000 0.5000 0.7746
Zn1 0.0000 0.0000 0.5698
Ho1 0.5000 0.5000 0.3682
Pm1 0.0000 0.0000 0.0721

Computed properties:
Formation energy: -0.7 eV/f.u.
Total moment: 0.0 μB/f.u.

---

(11)
The following is a GGA-PBE calculation of a geometry-optimized Pm3Dy2Ho6Zr structure, from Alexandria.

a b c (Å): 6.1106 6.1106 11.6518
angles (deg): 95.00 95.00 119.94
Element x y z (fractional)
Zr1 0.0000 0.0000 0.0000
Pm1 0.5000 0.5000 0.5000
Pm2 0.1661 0.8339 0.5000
Pm3 0.8339 0.1661 0.5000
Ho1 0.7542 0.7542 0.2419
Ho2 0.4070 0.0805 0.2423
Ho3 0.0805 0.4070 0.2423
Ho4 0.2458 0.2458 0.7581
Ho5 0.5930 0.9195 0.7577
Ho6 0.9195 0.5930 0.7577
Dy1 0.6668 0.3332 0.0000
Dy2 0.3332 0.6668 0.0000

Computed properties:
Formation energy: 0.5 eV/f.u.
Total moment: 0.0 μB/f.u.

---

(12)
The following is a GGA-PBE calculation of a geometry-optimized PmDyHoZr structure, from Alexandria.

a b c (Å): 5.5207 5.5207 5.5207
angles (deg): 60.00 60.00 60.00
Each line ends with the local moment (μB).
Element x y z (fractional)
Dy1 0.7500 0.7500 0.7500  0.12
Pm1 0.0000 0.0000 0.0000  0.22
Zr1 0.2500 0.2500 0.2500  0.81
Ho1 0.5000 0.5000 0.5000  0.30

Computed properties:
Formation energy: 0.9 eV/f.u.
Total moment: 2.2 μB/f.u.